PBE-GGA KZr12Te16, relaxed; VASP energy = -6.268 eV/atom; symmetry = P-1, No. 2; formation energy from raw total energies = -22.13 kcal/mol of atoms; crystal system = triclinic
1.0
7.918 0.006 -0.006
-0.010 11.169 -0.012
-3.944 -5.579 9.680
Zr Te K
12 16 1
direct
0.688 0.632 0.124
0.122 0.125 0.492
0.813 0.367 0.875
0.312 0.368 0.876
0.693 0.508 0.633
0.307 0.492 0.367
0.380 0.875 0.508
0.810 0.492 0.367
0.620 0.125 0.492
0.187 0.633 0.125
0.878 0.875 0.508
0.190 0.508 0.633
0.042 0.667 0.334
0.731 0.055 0.711
0.346 0.655 0.945
0.541 0.666 0.333
0.654 0.345 0.055
0.848 0.655 0.945
0.229 0.055 0.710
0.152 0.345 0.055
0.454 0.710 0.655
0.958 0.333 0.666
0.546 0.290 0.345
0.048 0.289 0.344
0.771 0.945 0.290
0.269 0.945 0.289
0.459 0.334 0.667
0.952 0.711 0.656
0.500 0.000 0.000